Entry 1:
VASP calculation (GGA-PBEsol) on a relaxed Na4Co3P4H18O24 crystal.

a = 7.3522 Å, b = 9.0377 Å, c = 15.0226 Å
α = 90.00°, β = 95.25°, γ = 90.00°
Last column: nearest neighbours and their distance in Å.
Sites, in units of the cell vectors:
Na  0.0459  0.1107  0.2148  6 O 2.32-2.53
Na  0.0459  0.3893  0.7148  6 O 2.32-2.53
Na  0.2442  0.5170  0.1337  5 O 2.35-2.50
Na  0.2442  0.9830  0.6337  5 O 2.35-2.50
Na  0.7558  0.0170  0.3663  5 O 2.35-2.50
Na  0.7558  0.4830  0.8663  5 O 2.35-2.50
Na  0.9541  0.6107  0.2852  6 O 2.32-2.53
Na  0.9541  0.8893  0.7852  6 O 2.32-2.53
Co  0.0000  0.0000  0.0000  6 O 2.03-2.13
Co  0.0000  0.5000  0.5000  6 O 2.03-2.13
Co  0.4706  0.7418  0.4957  4 O 1.98-1.99
Co  0.4706  0.7582  0.9957  4 O 1.98-1.99
Co  0.5294  0.2418  0.0043  4 O 1.98-1.99
Co  0.5294  0.2582  0.5043  4 O 1.98-1.99
P  0.2532  0.0242  0.4264  4 O 1.52-1.59
P  0.2532  0.4758  0.9264  4 O 1.52-1.59
P  0.3975  0.5244  0.6165  4 O 1.54-1.57
P  0.3975  0.9756  0.1165  4 O 1.54-1.57
P  0.6026  0.0244  0.8835  4 O 1.54-1.57
P  0.6026  0.4756  0.3835  4 O 1.54-1.57
P  0.7468  0.5242  0.0736  4 O 1.52-1.59
P  0.7468  0.9758  0.5736  4 O 1.52-1.59
H  0.0555  0.2038  0.8778  1 O 0.99
H  0.0555  0.2962  0.3778  1 O 0.99
H  0.0782  0.7339  0.9486  1 O 1.02
H  0.0782  0.7661  0.4486  1 O 1.02
H  0.1379  0.2409  0.5405  1 O 1.00
H  0.1379  0.2591  0.0405  1 O 1.00
H  0.2271  0.1009  0.8899  1 O 1.01
H  0.2271  0.3991  0.3899  1 O 1.01
H  0.2652  0.7128  0.7346  1 O 1.00
H  0.2652  0.7872  0.2346  1 O 1.00
H  0.3408  0.6643  0.3040  1 O 1.00
H  0.3408  0.8357  0.8040  1 O 1.00
H  0.3535  0.1900  0.7815  1 O 0.99
H  0.3535  0.3100  0.2815  1 O 0.99
H  0.3638  0.2430  0.1842  1 O 1.00
H  0.3638  0.2570  0.6842  1 O 1.00
H  0.3757  0.0026  0.2962  1 O 1.05
H  0.3757  0.4974  0.7962  1 O 1.05
H  0.6243  0.5026  0.2038  1 O 1.05
H  0.6243  0.9974  0.7038  1 O 1.05
H  0.6362  0.7430  0.3158  1 O 1.00
H  0.6362  0.7570  0.8158  1 O 1.00
H  0.6465  0.6900  0.7185  1 O 0.99
H  0.6465  0.8100  0.2185  1 O 0.99
H  0.6592  0.1643  0.1960  1 O 1.00
H  0.6592  0.3357  0.6960  1 O 1.00
H  0.7348  0.2128  0.7654  1 O 1.00
H  0.7348  0.2872  0.2654  1 O 1.00
H  0.7729  0.6009  0.6101  1 O 1.01
H  0.7729  0.8991  0.1101  1 O 1.01
H  0.8621  0.7409  0.9595  1 O 1.00
H  0.8621  0.7591  0.4595  1 O 1.00
H  0.9218  0.2339  0.5514  1 O 1.02
H  0.9218  0.2661  0.0514  1 O 1.02
H  0.9445  0.7038  0.6222  1 O 0.99
H  0.9445  0.7962  0.1222  1 O 0.99
O  0.0352  0.2016  0.0636  2 H 1.00-1.02
O  0.0352  0.2984  0.5636  2 H 1.00-1.02
O  0.0731  0.0645  0.3749  1 P 1.52
O  0.0731  0.4355  0.8749  1 P 1.52
O  0.0893  0.0979  0.8824  2 H 0.99-1.01
O  0.0893  0.4021  0.3824  2 H 0.99-1.01
O  0.2446  0.6826  0.2541  2 H 1.00
O  0.2446  0.8174  0.7541  2 H 1.00
O  0.2515  0.6334  0.9699  1 P 1.57, 1 H 1.57
O  0.2515  0.8666  0.4699  1 P 1.57, 1 H 1.57
O  0.2650  0.5569  0.5334  1 P 1.54
O  0.2650  0.9431  0.0334  1 P 1.54
O  0.2849  0.1979  0.7215  2 H 0.99-1.00
O  0.2849  0.3021  0.2215  2 H 0.99-1.00
O  0.3069  0.1344  0.5039  1 P 1.56, 1 H 1.70
O  0.3069  0.3656  0.0039  1 P 1.56, 1 H 1.70
O  0.3081  0.5409  0.7048  1 H 1.47, 1 P 1.54
O  0.3081  0.9591  0.2048  1 H 1.47, 1 P 1.54
O  0.4153  0.0275  0.3634  1 H 1.05
O  0.4153  0.4725  0.8634  1 H 1.05
O  0.4474  0.1420  0.8892  1 P 1.57, 2 H 1.66-1.75
O  0.4474  0.3580  0.3892  1 P 1.57, 2 H 1.66-1.75
O  0.4807  0.1344  0.1146  1 P 1.56, 2 H 1.72-1.73
O  0.4807  0.3656  0.6146  1 P 1.56, 2 H 1.72-1.73
O  0.5193  0.6344  0.3854  1 P 1.56, 2 H 1.72-1.73
O  0.5193  0.8656  0.8854  1 P 1.56, 2 H 1.72-1.73
O  0.5526  0.6420  0.6108  1 P 1.57, 2 H 1.66-1.75
O  0.5526  0.8580  0.1108  1 P 1.57, 2 H 1.66-1.75
O  0.5847  0.5275  0.1366  1 H 1.05
O  0.5847  0.9725  0.6366  1 H 1.05
O  0.6919  0.0409  0.7952  1 H 1.47, 1 P 1.54
O  0.6919  0.4591  0.2952  1 H 1.47, 1 P 1.54
O  0.6931  0.6344  0.9961  1 P 1.56, 1 H 1.70
O  0.6931  0.8656  0.4961  1 P 1.56, 1 H 1.70
O  0.7151  0.6979  0.7785  2 H 0.99-1.00
O  0.7151  0.8021  0.2785  2 H 0.99-1.00
O  0.7350  0.0569  0.9666  1 P 1.54
O  0.7350  0.4431  0.4666  1 P 1.54
O  0.7485  0.1334  0.5301  1 P 1.57, 1 H 1.57
O  0.7485  0.3666  0.0301  1 P 1.57, 1 H 1.57
O  0.7554  0.1826  0.2459  2 H 1.00
O  0.7554  0.3174  0.7459  2 H 1.00
O  0.9107  0.5979  0.6176  2 H 0.99-1.01
O  0.9107  0.9021  0.1176  2 H 0.99-1.01
O  0.9269  0.5645  0.1251  1 P 1.52
O  0.9269  0.9355  0.6251  1 P 1.52
O  0.9648  0.7016  0.4364  2 H 1.00-1.02
O  0.9648  0.7984  0.9364  2 H 1.00-1.02

raw total energy	-5.95	eV per atom
theoretical density	2655	kg/m3

Entry 2:
VASP calculation (GGA-PBEsol) on a relaxed Be2ZnCl crystal.

a = 4.3403 Å, b = 4.3403 Å, c = 4.3403 Å
α = 60.00°, β = 60.00°, γ = 60.00°
Last column: nearest neighbours and their distance in Å.
Sites, in units of the cell vectors:
Be  0.2500  0.2500  0.2500  4 Cl 2.66, 4 Zn 2.66
Be  0.7500  0.7500  0.7500  4 Cl 2.66, 4 Zn 2.66
Zn  0.0000  0.0000  0.0000  8 Be 2.66
Cl  0.5000  0.5000  0.5000  8 Be 2.66

uncorrected formation energy	0.96	eV per atom
theoretical density	3415	kg/m3
offset from the most stable computed form	0.602	eV per atom

Entry 3:
VASP calculation (GGA-PBEsol) on a relaxed InBiSb2Te crystal.

a = 5.7901 Å, b = 5.7901 Å, c = 5.8519 Å
α = 90.00°, β = 90.00°, γ = 90.00°
Last column: nearest neighbours and their distance in Å.
Sites, in units of the cell vectors:
In  0.0000  0.0000  0.0000  4 Te 4.09, 8 Sb 4.12
Bi  0.5000  0.5000  0.5000  4 Sb 2.90, 2 Te 2.93
Sb  0.0000  0.5000  0.5000  2 Bi 2.90
Sb  0.5000  0.0000  0.5000  2 Bi 2.90
Te  0.5000  0.5000  0.0000  2 Bi 2.93

uncorrected formation energy	0.72	eV per atom
theoretical density	5882	kg/m3

Entry 4:
VASP calculation (GGA-PBEsol) on a relaxed CaBePt2 crystal.

a = 2.9032 Å, b = 4.2996 Å, c = 5.5051 Å
α = 90.00°, β = 105.37°, γ = 90.00°
Last column: nearest neighbours and their distance in Å.
Sites, in units of the cell vectors:
Ca  0.0000  0.0000  0.0000  7 Pt 2.83-3.04, 2 Ca 2.90
Be  0.3231  0.5000  0.6452  4 Pt 2.23-2.35
Pt  0.2670  0.0000  0.5332  2 Be 2.23
Pt  0.6486  0.5000  0.2971  2 Be 2.35

energy of formation	-439	meV per atom
theoretical density	11009	kg/m3

Total magnetic moment readings, ordered: 9.0, 0.0, 0.0, 0.0 μB/f.u.